[1]
First-principles (GGA-PBEsol) data for a geometry-optimized AgSbPb2S4 structure, as listed in Alexandria via LeMat-Bulk.

Unit cell a=7.0739 b=7.0739 c=7.0739 alpha=132.96 beta=132.96 gamma=68.72
With the nearest neighbours (Å) after each atom.
Fractional positions:
Ag 0.0000 0.0000 0.0000  6 S 2.82-3.14
Sb 0.5000 0.5000 0.0000  6 S 2.70-2.82
Pb 0.2500 0.7500 0.5000  6 S 2.83-2.92
Pb 0.7500 0.2500 0.5000  6 S 2.83-2.92
S 0.0000 0.5000 0.5000  2 Sb 2.82, 2 Ag 2.82, 2 Pb 2.92
S 0.2690 0.2690 0.0000  1 Sb 2.70, 4 Pb 2.83
S 0.5000 0.0000 0.5000  2 Sb 2.82, 2 Ag 2.82, 2 Pb 2.92
S 0.7310 0.7310 0.0000  1 Sb 2.70, 4 Pb 2.83

Formation energy (no corrections)   -2.40 eV per formula unit
Raw total energy   -35.80 eV per formula unit

=====

[2]
First-principles (GGA-PBEsol) data for a geometry-optimized SrTaCuPd2 structure, as listed in Alexandria via LeMat-Bulk.

Unit cell a=4.8762 b=4.8762 c=4.7350 alpha=90.00 beta=90.00 gamma=90.00
With the nearest neighbours (Å) after each atom.
Fractional positions:
Sr 0.0000 0.0000 0.0000  2 Cu 2.37, 4 Pd 2.44
Ta 0.5000 0.5000 0.5000  8 Pd 3.40, 4 Cu 3.45
Cu 0.0000 0.0000 0.5000  2 Sr 2.37
Pd 0.0000 0.5000 0.0000  2 Sr 2.44
Pd 0.5000 0.0000 0.0000  2 Sr 2.44

Calculated formation energy   1.806 eV/atom
Raw total energy   -21.61 eV per formula unit

=====

[3]
First-principles (GGA-PBEsol) data for a geometry-optimized LiIr2Br structure, as listed in Alexandria via LeMat-Bulk.

Unit cell a=2.7815 b=2.7815 c=9.1425 alpha=90.00 beta=90.00 gamma=121.02
With the nearest neighbours (Å) after each atom.
Fractional positions:
Li 0.0000 0.0000 0.0000  4 Ir 2.60, 6 Li 2.74-2.78
Ir 0.5000 0.5000 0.2413  2 Li 2.60, 2 Br 2.73, 6 Ir 2.74-2.78
Ir 0.5000 0.5000 0.7587  2 Li 2.60, 2 Br 2.73, 6 Ir 2.74-2.78
Br 0.0000 0.0000 0.5000  4 Ir 2.73, 6 Br 2.74-2.78

Formation energy (no corrections)   2.62 eV per formula unit
Raw total energy   -20.87 eV per formula unit

=====

[4]
First-principles (GGA-PBEsol) data for a geometry-optimized Ta2PtSe7 structure, as listed in Alexandria via LeMat-Bulk.

Unit cell a=7.2486 b=7.2486 c=18.5929 alpha=108.62 beta=108.62 gamma=28.06
With the nearest neighbours (Å) after each atom.
Fractional positions:
Ta 0.1474 0.1474 0.3986  8 Se 2.61-2.74
Ta 0.2289 0.2289 0.0919  6 Se 2.49-2.70
Ta 0.7711 0.7711 0.9081  6 Se 2.49-2.70
Ta 0.8526 0.8526 0.6014  8 Se 2.61-2.74
Pt 0.3138 0.3138 0.7925  6 Se 2.50-2.67
Pt 0.6862 0.6862 0.2075  6 Se 2.50-2.67
Se 0.0717 0.0717 0.1259  1 Ta 2.49, 2 Pt 2.53
Se 0.1508 0.1508 0.8270  2 Ta 2.56, 1 Pt 2.58
Se 0.2040 0.2040 0.5540  3 Ta 2.65-2.73
Se 0.2627 0.2627 0.3054  2 Pt 2.50, 1 Ta 2.74
Se 0.3594 0.3594 0.0131  3 Ta 2.62-2.70
Se 0.4347 0.4347 0.7078  2 Ta 2.61, 1 Se 2.65, 1 Pt 2.67
Se 0.4778 0.4778 0.5793  2 Ta 2.62, 1 Se 2.65
Se 0.5222 0.5222 0.4207  2 Ta 2.62, 1 Se 2.65
Se 0.5653 0.5653 0.2922  2 Ta 2.61, 1 Se 2.65, 1 Pt 2.67
Se 0.6406 0.6406 0.9869  3 Ta 2.62-2.70
Se 0.7373 0.7373 0.6946  2 Pt 2.50, 1 Ta 2.74
Se 0.7960 0.7960 0.4460  3 Ta 2.65-2.73
Se 0.8492 0.8492 0.1730  2 Ta 2.56, 1 Pt 2.58
Se 0.9283 0.9283 0.8741  1 Ta 2.49, 2 Pt 2.53

Formation energy (no corrections)   -6.47 eV per formula unit
Raw total energy   -65.49 eV per formula unit

=====

[5]
First-principles (GGA-PBEsol) data for a geometry-optimized CdCoOF2 structure, as listed in Alexandria via LeMat-Bulk.

Unit cell a=4.1982 b=4.1982 c=4.2318 alpha=90.00 beta=90.00 gamma=90.00
With the nearest neighbours (Å) after each atom.
Fractional positions:
Cd 0.0000 0.0000 0.0000  4 F 2.10, 2 O 2.12
Co 0.5000 0.5000 0.5000  4 O 2.97, 8 F 2.98
O 0.0000 0.0000 0.5000  2 Cd 2.12
F 0.0000 0.5000 0.0000  2 Cd 2.10
F 0.5000 0.0000 0.0000  2 Cd 2.10

Formation energy (no corrections)   -1.86 eV per formula unit
Raw total energy   -19.90 eV per formula unit

=====

[6]
First-principles (GGA-PBEsol) data for a geometry-optimized MoRu3 structure, as listed in Alexandria via LeMat-Bulk.

Unit cell a=4.6786 b=4.6786 c=4.6786 alpha=132.15 beta=132.15 gamma=70.00
With the nearest neighbours (Å) after each atom.
Fractional positions:
Mo 0.0000 0.0000 0.0000  12 Ru 2.68-2.70
Ru 0.2500 0.7500 0.5000  8 Ru 2.68-2.70, 4 Mo 2.70
Ru 0.5000 0.5000 0.0000  4 Mo 2.68, 8 Ru 2.70
Ru 0.7500 0.2500 0.5000  8 Ru 2.68-2.70, 4 Mo 2.70

Relative energy among the computed polymorphs   0.096 eV/atom
Calculated formation energy   0.040 eV/atom
Raw total energy   -42.12 eV per formula unit

=====

[7]
First-principles (GGA-PBEsol) data for a geometry-optimized GdPd structure, as listed in Alexandria via LeMat-Bulk.

Unit cell a=5.5664 b=5.5664 c=4.5075 alpha=90.00 beta=90.00 gamma=141.09
With the nearest neighbours (Å) after each atom.
Fractional positions:
Gd 0.1378 0.8622 0.7500  7 Pd 2.90-2.99
Gd 0.8622 0.1378 0.2500  7 Pd 2.90-2.99
Pd 0.4144 0.5856 0.7500  2 Pd 2.88, 7 Gd 2.90-2.99
Pd 0.5856 0.4144 0.2500  2 Pd 2.88, 7 Gd 2.90-2.99

Calculated formation energy   -0.846 eV/atom
Raw total energy   -22.10 eV per formula unit

=====

[8]
First-principles (GGA-PBEsol) data for a geometry-optimized Co2SiHg structure, as listed in Alexandria via LeMat-Bulk.

Unit cell a=4.1570 b=4.1570 c=4.1570 alpha=60.00 beta=60.00 gamma=60.00
With the nearest neighbours (Å) after each atom.
Fractional positions:
Co 0.2500 0.2500 0.2500  4 Hg 2.55, 4 Si 2.55
Co 0.7500 0.7500 0.7500  4 Hg 2.55, 4 Si 2.55
Si 0.0000 0.0000 0.0000  8 Co 2.55
Hg 0.5000 0.5000 0.5000  8 Co 2.55

Relative energy among the computed polymorphs   0.000 eV/atom
Formation energy (no corrections)   0.56 eV per formula unit
Raw total energy   -21.23 eV per formula unit